Computed, not measured: a relaxed structure of Li2In3Pt2 at the PBE level of DFT.

## Properties
ΔE_f	-0.38	eV per atom
uncorrected energy	-26.77	eV for the cell shown
M_tot	0.00	μB per cell
SG	No. 2

Lattice parameters (Å, degrees): 4.5693 4.5627 8.2513 90.06 105.95 119.86
Closest atoms and distances in Å follow each position.
Atoms (fractional coordinates):
In 0.4901 0.7458 0.2395  3 Pt 2.72-2.73, 4 Li 2.85-2.99
In 0.0000 0.0000 0.0000  6 Pt 2.90, 2 Li 2.96, 4 In 3.23-3.24
In 0.5099 0.2542 0.7605  3 Pt 2.72-2.73, 4 Li 2.85-2.99
Li 0.7519 0.8743 0.6215  5 In 2.85-2.99, 3 Pt 3.17-3.18
Li 0.2481 0.1257 0.3785  5 In 2.85-2.99, 3 Pt 3.17-3.18
Pt 0.2334 0.6164 0.8473  6 In 2.72-2.90
Pt 0.7666 0.3836 0.1527  6 In 2.72-2.90

***

Computed, not measured: a relaxed structure of Rb2InAg at the PBE level of DFT.

## Properties
ΔE_f	-0.01	eV per atom
uncorrected energy	-15.11	eV for the cell shown
M_tot	0.00	μB per cell
SG	No. 63

Lattice parameters (Å, degrees): 6.7364 7.0828 7.0828 102.92 90.00 90.00
Closest atoms and distances in Å follow each position.
Atoms (fractional coordinates):
Rb 0.2500 0.6772 0.0323  4 Ag 3.72-3.98, 3 Rb 3.94-4.16, 4 In 4.06-4.15
Rb 0.2500 0.0323 0.6772  4 Ag 3.72-3.98, 3 Rb 3.94-4.16, 4 In 4.06-4.15
Rb 0.7500 0.3228 0.9677  4 Ag 3.72-3.98, 3 Rb 3.94-4.16, 4 In 4.06-4.15
Rb 0.7500 0.9677 0.3228  4 Ag 3.72-3.98, 3 Rb 3.94-4.16, 4 In 4.06-4.15
Ag 0.2500 0.2363 0.2363  2 In 2.87
Ag 0.7500 0.7637 0.7637  2 In 2.87
In 0.5000 0.5000 0.5000  2 Ag 2.87
In 0.0000 0.5000 0.5000  2 Ag 2.87

***

Computed, not measured: a relaxed structure of Ac4CeSe7 at the PBE level of DFT.

## Properties
uncorrected energy	-70.17	eV for the cell shown
M_tot	1.21	μB per cell
SG	No. 8
uncorrected formation energy	-1951	meV per atom

Lattice parameters (Å, degrees): 4.3252 7.6168 12.8315 104.73 90.00 106.49
Closest atoms and distances in Å follow each position.
Atoms (fractional coordinates):
Ac 0.3058 0.6116 0.1986  7 Se 3.08-3.34
Ac 0.0019 0.0038 0.9962  6 Se 3.03-3.13
Ac 0.1103 0.2205 0.4285  6 Se 3.03-3.15
Ac 0.7014 0.4027 0.8092  7 Se 3.12-3.30
Se 0.7381 0.4763 0.3563  1 Ce 3.06, 4 Ac 3.15-3.29
Se 0.3417 0.6833 0.9521  5 Ac 3.13-3.34
Se 0.0425 0.0850 0.7747  1 Ce 2.95, 3 Ac 3.05-3.12
Se 0.9593 0.9185 0.2148  4 Ac 3.03-3.08
Se 0.2683 0.5365 0.6504  2 Ce 3.05, 3 Ac 3.15-3.29
Se 0.4839 0.9678 0.4911  2 Ce 2.97, 2 Ac 3.08
Se 0.6626 0.3251 0.0513  5 Ac 3.13-3.30
Ce 0.8844 0.7687 0.5768  6 Se 2.95-3.06